A | {
  "formula": "RbSb3Os",
  "functional": "GGA-PBE",
  "state": "relaxed",
  "lattice": [[-2.655, -3.311, -3.702], [4.706, -3.019, -0.675], [-1.588, -3.411, 4.190]],
  "species": ["Sb", "Sb", "Sb", "Os", "Rb"],
  "fractional_positions": [[0.000, 0.000, 0.500], [0.500, 0.000, 0.000], [0.000, 0.500, 0.000], [0.500, 0.500, 0.500], [0.000, 0.000, 0.000]],
  "rho_g_cm3": 5.96,
  "crystal_system": "cubic",
  "space_group": "No. 221"
}



B | {
  "formula": "RbSb3Os",
  "functional": "GGA-PBE",
  "state": "relaxed",
  "lattice": [[-3.769, 3.530, -1.340], [-3.775, -3.506, 1.385], [0.035, 1.926, 4.975]],
  "species": ["Rb", "Sb", "Sb", "Sb", "Os"],
  "fractional_positions": [[0.500, 0.500, 0.500], [0.500, 0.000, 0.000], [0.000, 0.500, 0.000], [0.000, 0.000, 0.500], [0.000, 0.000, 0.000]],
  "rho_g_cm3": 7.01,
  "crystal_system": "cubic",
  "space_group": "No. 221"
}



Most stable: B



A | {
  "formula": "RbSb2TeOs",
  "functional": "GGA-PBE",
  "state": "relaxed",
  "lattice": [[-3.754, 4.552, -0.888], [0.514, -0.727, -5.900], [-4.636, -3.811, 0.066]],
  "species": ["Sb", "Sb", "Os", "Rb", "Te"],
  "fractional_positions": [[0.500, 0.000, 0.000], [0.000, 0.500, 0.000], [0.500, 0.500, 0.500], [0.000, 0.000, 0.000], [0.000, 0.000, 0.500]],
  "rho_g_cm3": 5.03,
  "crystal_system": "tetragonal",
  "space_group": "No. 123"
}



B | {
  "formula": "RbSb2TeOs",
  "functional": "GGA-PBE",
  "state": "relaxed",
  "lattice": [[-0.699, 2.048, -4.617], [-4.065, -2.994, -0.713], [-3.651, 4.366, 2.490]],
  "species": ["Rb", "Os", "Te", "Sb", "Sb"],
  "fractional_positions": [[0.500, 0.500, 0.500], [0.000, 0.000, 0.000], [0.000, 0.000, 0.500], [0.500, 0.000, 0.000], [0.000, 0.500, 0.000]],
  "rho_g_cm3": 6.65,
  "crystal_system": "tetragonal",
  "space_group": "No. 123"
}



Most stable: B



A | {
  "formula": "Rb2ScOs",
  "functional": "GGA-PBE",
  "state": "relaxed",
  "lattice": [[-0.870, -3.676, 4.001], [2.029, 0.885, 5.037], [-3.393, 1.212, 4.159]],
  "species": ["Sc", "Rb", "Rb", "Os"],
  "fractional_positions": [[0.000, 0.000, 0.000], [0.250, 0.250, 0.250], [0.750, 0.750, 0.750], [0.500, 0.500, 0.500]],
  "rho_g_cm3": 5.72,
  "crystal_system": "cubic",
  "space_group": "No. 225"
}



B | {
  "formula": "Rb2ScOs",
  "functional": "GGA-PBE",
  "state": "relaxed",
  "lattice": [[4.191, 0.000, 0.000], [0.000, 4.191, 0.000], [2.095, 2.095, 12.677]],
  "species": ["Rb", "Rb", "Rb", "Rb", "Sc", "Sc", "Os", "Os"],
  "fractional_positions": [[0.875, 0.879, 0.750], [0.629, 0.125, 0.250], [0.375, 0.371, 0.750], [0.121, 0.625, 0.250], [0.250, 0.750, 0.500], [0.500, 0.500, 0.000], [0.750, 0.250, 0.500], [0.000, 0.000, 0.000]],
  "rho_g_cm3": 6.06,
  "crystal_system": "tetragonal",
  "space_group": "No. 122"
}



Most stable: B